A geometry-optimized Pu2Br5 structure, computed with PBE.

```
Pu2Br5
1.0
8.0695 -3.4409 0.0000
8.0695 3.4409 0.0000
-0.9682 0.0000 7.6733
Pu Br
4 10
Direct
0.1119 0.6616 0.9146
0.3384 0.8881 0.5854
0.6616 0.1119 0.4146
0.8881 0.3384 0.0854
0.0710 0.9290 0.2500
0.1371 0.2993 0.8189
0.2956 0.5313 0.5712
0.2993 0.1371 0.3189
0.4687 0.7044 0.9288
0.5313 0.2956 0.0712
0.7007 0.8629 0.6811
0.7044 0.4687 0.4288
0.8629 0.7007 0.1811
0.9290 0.0710 0.7500
```

DOS at the Fermi energy = 56.34 states/eV/cell
raw formation energy = -1512 meV per atom
total magnetic moment = 11.00 μB/f.u.
crystal system = monoclinic